This record from Alexandria describes crystalline ZrCdRe at its relaxed geometry. The functional is GGA-PBE.

Values from the calculation:
ΔE to the lowest computed polymorph   0 meV per atom
Energy relative to the elements   18.1 kJ/mol of atoms
Total energy   -21.347 eV per cell
DOS at the Fermi energy   1.351 states/eV per atom

a b c (Å): 5.4174 5.4174 5.4174
angles (deg): 142.77 142.77 53.66
Last column: nearest neighbours and their distance in Å.
Positions (direct):
Cd 0.0068 0.0068 0.0000  5 Re 2.95-3.19, 5 Zr 2.99-3.06
Re 0.6773 0.6773 0.0000  4 Zr 2.79, 4 Cd 2.95
Zr 0.3159 0.3159 0.0000  4 Re 2.79, 5 Cd 2.99-3.06